Version w
{
  "formula": "YZn2W",
  "functional": "SCAN",
  "state": "PBEsol geometry",
  "lattice_angstrom": [[4.609, 0.000, 0.000], [2.304, 3.991, 0.000], [2.304, 1.330, 3.763]],
  "species": ["W", "Y", "Zn", "Zn"],
  "frac_coords": [[0.000, 0.000, 0.000], [0.500, 0.500, 0.500], [0.250, 0.250, 0.250], [0.750, 0.750, 0.750]],
  "space_group": "Fm-3m",
  "magnetic_moment_mub_per_cell": 1.03
}

=====

Version x
{
  "formula": "YZn2W",
  "functional": "SCAN",
  "state": "PBEsol geometry",
  "lattice_angstrom": [[-1.002, -2.941, -2.440], [0.015, -2.525, 3.038], [-3.832, 3.595, 0.439]],
  "species": ["W", "Y", "Zn", "Zn"],
  "frac_coords": [[0.500, 0.500, 0.000], [0.250, 0.750, 0.500], [0.000, 0.000, 0.000], [0.750, 0.250, 0.500]],
  "space_group": "I-4m2",
  "magnetic_moment_mub_per_cell": 0.00
}

=====

Least stable of them? version x.

=====

Version w
{
  "formula": "ZrZn2W",
  "functional": "SCAN",
  "state": "PBEsol geometry",
  "lattice_angstrom": [[-2.327, 0.584, -1.685], [-2.860, -0.646, 3.725], [2.953, 4.494, 0.030]],
  "species": ["W", "Zn", "Zn", "Zr"],
  "frac_coords": [[0.263, 0.763, 0.526], [0.009, 0.009, 0.018], [0.730, 0.230, 0.460], [0.498, 0.498, 0.995]],
  "space_group": "Imm2",
  "magnetic_moment_mub_per_cell": 0.00
}

=====

Version x
{
  "formula": "ZrZn2W",
  "functional": "SCAN",
  "state": "PBEsol geometry",
  "lattice_angstrom": [[2.780, 0.000, 0.000], [0.000, 4.067, 0.000], [0.000, 0.000, 5.786]],
  "species": ["W", "Zn", "Zn", "Zr"],
  "frac_coords": [[0.500, 0.500, 0.768], [0.000, 0.000, 0.996], [0.500, 0.500, 0.233], [0.000, 0.000, 0.503]],
  "space_group": "Pmm2",
  "magnetic_moment_mub_per_cell": 0.00
}

=====

Least stable of them? version x.